Arrangement A

La5PmIr4 (PBE, relaxed); total magnetization = 0.0 Bohr magnetons per cell; volume = 29.140 Å³/atom
1.0
4.346 0.000 0.000
0.000 7.669 -1.286
-2.173 -2.427 9.149
La Pm Ir
5 1 4
Cartesian
2.173 2.941 5.380
2.173 -1.056 6.048
0.000 6.298 1.815
2.173 3.834 -0.643
0.000 2.301 2.484
2.173 0.000 0.000
0.000 4.688 4.531
0.000 5.697 -0.953
2.173 0.554 3.332
2.173 -0.455 8.817

---

Arrangement B

La5PmIr4 (PBE, relaxed); total magnetization = 0.0 Bohr magnetons per cell; volume = 27.086 Å³/atom
1.0
4.670 0.000 -1.482
-0.037 7.155 -0.117
0.002 0.054 8.104
La Pm Ir
5 1 4
Cartesian
0.772 0.048 2.432
0.755 3.635 2.380
3.880 3.575 4.125
2.316 3.578 -0.800
3.863 7.161 4.072
2.335 0.000 -0.741
3.085 5.392 1.622
0.054 1.780 0.171
1.550 1.817 4.882
4.581 5.429 6.333

---

arrangement A is preferred energetically. Next in line: 0.018 eV/atom higher.

---

Arrangement A

LaPmIrPt (PBE, relaxed); total magnetization = 0.0 Bohr magnetons per cell; volume = 24.057 Å³/atom
1.0
-3.367 1.903 -0.835
-1.503 -3.602 -2.150
-0.514 -2.804 5.057
La Pm Ir Pt
1 1 1 1
Cartesian
-0.624 -0.526 1.316
-4.030 -2.195 1.875
-1.800 -1.517 3.799
-2.812 -1.167 -0.697

---

Arrangement B

LaPmIrPt (PBE, relaxed); total magnetization = 0.0 Bohr magnetons per cell; volume = 23.123 Å³/atom
1.0
-4.545 -1.915 -1.201
-0.510 -2.945 -4.103
-0.883 -4.970 0.537
Ir La Pt Pm
1 1 1 1
Cartesian
0.000 0.000 0.000
-4.453 -7.373 -3.575
-2.969 -4.915 -2.383
-1.484 -2.458 -1.192

---

arrangement A is preferred energetically. Next in line: 0.082 eV/atom higher.

---

Arrangement A

LaPmZnIr (PBE, relaxed); total magnetization = 0.0 Bohr magnetons per cell; volume = 23.784 Å³/atom
1.0
5.124 0.000 0.000
2.562 4.438 0.000
2.562 1.479 4.184
Zn Ir La Pm
1 1 1 1
Cartesian
0.000 0.000 0.000
5.124 2.958 2.092
2.562 1.479 1.046
7.686 4.438 3.138

---

Arrangement B

LaPmZnIr (PBE, relaxed); total magnetization = 0.0 Bohr magnetons per cell; volume = 24.918 Å³/atom
1.0
4.073 0.000 0.000
0.000 4.406 0.000
-2.036 0.000 5.554
La Pm Zn Ir
1 1 1 1
Cartesian
2.036 2.203 4.027
0.000 0.000 1.520
2.036 2.203 0.789
0.000 0.000 4.773

---

arrangement B is preferred energetically. Next in line: 0.050 eV/atom higher.

---

Arrangement A

La2PrIr2 (PBE, relaxed); total magnetization = 0.0 Bohr magnetons per cell; volume = 30.989 Å³/atom
1.0
-1.879 1.622 -3.477
-5.149 -1.014 2.310
3.571 5.441 3.232
La Pr Ir
2 1 2
Cartesian
-3.493 2.433 0.398
0.036 3.615 1.667
0.000 0.000 0.000
-2.535 3.441 2.975
-0.922 2.607 -0.911

---

Arrangement B

La2PrIr2 (PBE, relaxed); total magnetization = 0.0 Bohr magnetons per cell; volume = 28.498 Å³/atom
1.0
-1.451 -4.147 0.831
0.657 0.936 5.822
-9.901 3.910 2.221
La Pr Ir
4 2 4
Cartesian
-8.535 3.251 7.337
-2.160 -2.552 1.537
-5.490 1.265 2.743
-5.205 -0.567 6.131
-2.053 0.280 3.827
-8.642 0.419 5.047
-6.182 2.089 5.648
-4.513 -1.391 3.226
-9.752 3.072 4.316
-0.943 -2.373 4.558

---

arrangement B is preferred energetically. Next in line: 0.025 eV/atom higher.

---

Arrangement A

La3PrIr (PBE, relaxed); total magnetization = 0.0 Bohr magnetons per cell; volume = 35.637 Å³/atom
1.0
6.540 0.000 0.000
0.000 6.797 -0.001
0.000 0.001 8.017
La Pr Ir
6 2 2
Cartesian
2.777 2.222 1.610
2.779 5.802 7.633
6.048 3.394 3.625
6.046 0.176 5.617
6.048 3.395 7.609
2.778 5.802 3.600
2.814 2.251 5.618
6.085 0.147 1.609
1.135 4.631 5.617
4.405 4.565 1.609

---

Arrangement B

La3PrIr (PBE, relaxed); total magnetization = 0.1 Bohr magnetons per cell; volume = 37.090 Å³/atom
1.0
-4.276 -1.178 -3.585
3.773 -1.351 -4.057
-0.011 -5.414 1.792
Pr Ir La
1 1 3
Cartesian
-0.257 -3.971 -2.924
0.000 0.000 0.000
1.887 -0.675 -2.028
-0.005 -2.707 0.896
-2.138 -0.589 -1.792

---

arrangement A is preferred energetically. Next in line: 0.062 eV/atom higher.

---

Arrangement A

LaPrZnIr (PBE, relaxed); total magnetization = 0.0 Bohr magnetons per cell; volume = 24.291 Å³/atom
1.0
5.160 0.000 0.000
2.580 4.469 0.000
2.580 1.490 4.213
Pr Zn Ir La
1 1 1 1
Cartesian
7.740 4.469 3.160
5.160 2.979 2.107
0.000 0.000 0.000
2.580 1.490 1.053

---

Arrangement B

LaPrZnIr (PBE, relaxed); total magnetization = 0.0 Bohr magnetons per cell; volume = 25.413 Å³/atom
1.0
4.110 0.000 0.000
0.000 4.398 0.000
-2.055 0.000 5.625
La Pr Zn Ir
1 1 1 1
Cartesian
2.055 2.199 4.083
0.000 0.000 1.552
2.055 2.199 0.775
0.000 0.000 4.838

---

arrangement B is preferred energetically. Next in line: 0.057 eV/atom higher.

---

Arrangement A

LaIr2Pt (PBE, relaxed); total magnetization = 0.2 Bohr magnetons per cell; volume = 17.752 Å³/atom
1.0
-8.668 -4.651 0.944
-7.536 -6.286 -1.168
-6.920 -6.870 1.607
Ir La Pt
2 1 1
Cartesian
-0.203 -0.156 0.012
-11.359 -8.747 0.679
-5.781 -4.452 0.346
-17.343 -13.355 1.037

---

Arrangement B

LaIr2Pt (PBE, relaxed); total magnetization = 0.0 Bohr magnetons per cell; volume = 18.642 Å³/atom
1.0
4.763 0.000 0.000
0.000 2.949 0.015
0.000 1.068 5.314
Ir La Pt
2 1 1
Cartesian
0.000 3.711 5.115
0.000 2.315 2.879
2.381 1.004 1.332
2.381 3.013 3.997

---

Arrangement C

LaIr2Pt (PBE, relaxed); total magnetization = 0.0 Bohr magnetons per cell; volume = 18.971 Å³/atom
1.0
2.890 0.000 0.000
0.000 3.831 0.000
0.000 0.000 6.854
Ir La Pt
2 1 1
Cartesian
0.000 0.000 0.211
1.445 1.915 1.257
0.000 0.000 3.418
1.445 1.915 5.394

---

arrangement C is preferred energetically. Next in line: 0.078 eV/atom higher.

---

Arrangement A

LaIr2Pt (PBE, relaxed); total magnetization = 0.0 Bohr magnetons per cell; volume = 18.137 Å³/atom
1.0
2.953 0.000 0.000
0.000 2.953 0.000
0.000 0.000 8.320
Ir La Pt
2 1 1
Cartesian
0.000 0.000 8.055
0.000 0.000 4.425
1.476 1.476 2.080
1.476 1.476 6.240

---

Arrangement B

LaIr2Pt (PBE, relaxed); total magnetization = 0.0 Bohr magnetons per cell; volume = 18.229 Å³/atom
1.0
4.184 0.000 0.000
0.000 4.184 0.000
0.000 0.000 4.166
Ir La Pt
2 1 1
Cartesian
0.000 0.000 0.000
2.092 2.092 0.000
2.092 0.000 2.083
0.000 2.092 2.083

---

Arrangement C

LaIr2Pt (PBE, relaxed); total magnetization = 0.0 Bohr magnetons per cell; volume = 19.124 Å³/atom
1.0
-4.013 -0.590 -2.849
-4.384 -2.288 -0.339
-3.277 3.783 2.076
Ir La Pt
2 1 1
Cartesian
-3.177 3.626 1.984
-8.893 1.003 -0.635
-5.801 0.444 -0.556
-2.916 0.070 -0.383

---

Arrangement D

LaIr2Pt (PBE, relaxed); total magnetization = 0.0 Bohr magnetons per cell; volume = 18.206 Å³/atom
1.0
5.686 0.003 0.002
-2.789 4.955 0.002
0.742 1.270 2.585
Ir La Pt
2 1 1
Cartesian
0.000 0.000 0.000
1.448 2.479 0.002
3.214 0.636 1.294
-1.024 3.112 1.294

---

arrangement B is preferred energetically. Next in line: 0.199 eV/atom higher.

---

Arrangement A

LaIr2Pt (PBE, relaxed); total magnetization = 0.0 Bohr magnetons per cell; volume = 18.680 Å³/atom
1.0
0.000 3.343 3.343
3.343 0.000 3.343
3.343 3.343 0.000
Ir Pt La
2 1 1
Cartesian
1.671 1.671 1.671
5.014 5.014 5.014
3.343 3.343 3.343
0.000 0.000 0.000

---

Arrangement B

LaIr2Pt (PBE, relaxed); total magnetization = 0.0 Bohr magnetons per cell; volume = 19.890 Å³/atom
1.0
3.569 0.000 0.000
0.000 3.569 0.000
0.000 0.000 6.245
Ir La Pt
2 1 1
Cartesian
0.000 0.000 0.327
1.785 1.785 1.114
0.000 0.000 3.180
1.785 1.785 4.747

---

Arrangement C

LaIr2Pt (PBE, relaxed); total magnetization = 0.0 Bohr magnetons per cell; volume = 18.397 Å³/atom
1.0
5.136 -0.012 -0.091
1.737 4.833 0.091
-3.381 -2.490 2.959
Ir La Pt
2 1 1
Cartesian
6.872 4.821 0.000
2.598 -0.043 1.434
3.437 2.411 0.000
0.894 2.376 1.525

---

arrangement C is preferred energetically. Next in line: 0.041 eV/atom higher.

---

Arrangement A

LaIr2Pt (PBE, relaxed); total magnetization = 0.0 Bohr magnetons per cell; volume = 18.158 Å³/atom
1.0
-4.300 -1.220 2.096
1.442 -3.939 -2.603
1.518 -1.085 2.483
Ir La Pt
2 1 1
Cartesian
0.000 0.000 0.000
-1.429 -2.579 -0.254
-1.391 -1.153 2.289
1.480 -2.512 -0.060

---

Arrangement B

LaIr2Pt (PBE, relaxed); total magnetization = 0.0 Bohr magnetons per cell; volume = 18.696 Å³/atom
1.0
-4.315 -1.006 -0.507
0.569 -1.099 -2.663
1.125 -5.524 1.377
Ir La Pt
2 1 1
Cartesian
0.543 -1.224 -2.198
-1.814 -1.727 -0.752
0.858 -3.416 -0.529
-0.793 -5.671 -1.619

---

arrangement B is preferred energetically. Next in line: 0.046 eV/atom higher.

---

Arrangement A

LaIrPt3 (PBE, relaxed); total magnetization = 0.9 Bohr magnetons per cell; volume = 26.126 Å³/atom
1.0
-2.376 1.536 -4.212
-3.932 -3.004 1.123
-2.154 3.790 2.597
Ir Pt La
1 3 1
Cartesian
-4.231 1.161 -0.246
-1.966 -1.502 0.561
-1.077 1.895 1.298
-1.188 0.768 -2.106
0.000 0.000 0.000

---

Arrangement B

LaIrPt3 (PBE, relaxed); total magnetization = 1.3 Bohr magnetons per cell; volume = 23.682 Å³/atom
1.0
-3.458 1.150 3.292
-2.626 -3.909 -1.392
2.294 -2.741 3.368
Ir Pt La
1 3 1
Cartesian
0.000 0.000 0.000
-1.313 -1.954 -0.696
1.147 -1.370 1.684
-1.729 0.575 1.646
-1.895 -2.750 2.633

---

arrangement B is preferred energetically. Next in line: 1.588 eV/atom higher.

---

Arrangement A

La3IrPt (PBE, relaxed); total magnetization = 0.0 Bohr magnetons per cell; volume = 31.785 Å³/atom
1.0
-3.444 4.526 1.623
-3.716 -5.766 -2.578
0.856 1.206 9.211
La Ir Pt
6 2 2
Cartesian
-3.838 -2.667 -0.706
-1.674 0.653 5.389
-2.268 -3.553 5.076
-4.036 3.519 3.179
-2.465 2.633 8.961
-4.629 -0.687 2.865
-5.557 -0.453 0.247
-0.747 0.419 8.008
-2.367 1.130 2.606
-3.937 -1.164 5.649

---

Arrangement B

La3IrPt (PBE, relaxed); total magnetization = 0.0 Bohr magnetons per cell; volume = 33.497 Å³/atom
1.0
5.512 0.000 0.000
0.000 5.512 0.000
0.000 0.000 5.512
Ir Pt La
1 1 3
Cartesian
0.000 0.000 0.000
2.756 2.756 2.756
0.000 2.756 0.000
0.000 0.000 2.756
2.756 0.000 0.000

---

arrangement A is preferred energetically. Next in line: 0.527 eV/atom higher.